--- P ---
{"formula": "Ho2ThGa6", "functional": "PBE", "state": "optimized geometry", "cell": [[7.333, 0.000, 0.000], [-3.667, 6.351, 0.000], [0.000, 0.000, 4.140]], "species": ["Ho", "Ho", "Th", "Ga", "Ga", "Ga", "Ga", "Ga", "Ga"], "fractional_positions": [[0.333, 0.667, 0.000], [0.667, 0.333, 0.000], [0.000, 0.000, 0.000], [0.000, 0.335, 0.500], [0.000, 0.665, 0.500], [0.335, 0.000, 0.500], [0.335, 0.335, 0.500], [0.665, 0.000, 0.500], [0.665, 0.665, 0.500]], "spacegroup": "P6/mmm (191)", "m_tot_mub_per_fu": 0.00, "crystal_system": "hexagonal"}

=====

--- Q ---
{"formula": "Ho2ThGa6", "functional": "PBE", "state": "optimized geometry", "cell": [[-2.140, 3.545, 6.670], [2.140, -3.545, 6.670], [2.140, 3.545, -6.670]], "species": ["Ho", "Ho", "Th", "Ga", "Ga", "Ga", "Ga", "Ga", "Ga"], "fractional_positions": [[0.128, 0.128, 0.000], [0.872, 0.872, 0.000], [0.500, 0.000, 0.500], [0.128, 0.319, 0.809], [0.182, 0.500, 0.682], [0.490, 0.681, 0.809], [0.510, 0.319, 0.191], [0.818, 0.500, 0.318], [0.872, 0.681, 0.191]], "spacegroup": "Immm (71)", "m_tot_mub_per_fu": 0.00, "crystal_system": "orthorhombic"}

=====

Stability verdict: P, ahead by 19.5 kJ/mol of atoms

=====

--- P ---
{"formula": "HoThGa", "functional": "PBE", "state": "optimized geometry", "cell": [[-1.771, 1.771, 6.463], [1.771, -1.771, 6.463], [1.771, 1.771, -6.463]], "species": ["Ho", "Th", "Ga"], "fractional_positions": [[0.000, 0.000, 0.000], [0.705, 0.705, 0.000], [0.361, 0.361, 0.000]], "spacegroup": "I4mm (107)", "m_tot_mub_per_fu": 0.00, "crystal_system": "tetragonal"}

=====

--- Q ---
{"formula": "HoThGa", "functional": "PBE", "state": "optimized geometry", "cell": [[-2.072, 2.072, 11.528], [2.072, -2.072, 11.528], [2.072, 2.072, -11.528]], "species": ["Ho", "Ho", "Th", "Th", "Ga", "Ga"], "fractional_positions": [[0.079, 0.079, 0.000], [0.921, 0.921, 0.000], [0.332, 0.332, 0.000], [0.668, 0.668, 0.000], [0.204, 0.204, 0.000], [0.796, 0.796, 0.000]], "spacegroup": "I4/mmm (139)", "m_tot_mub_per_fu": 0.00, "crystal_system": "tetragonal"}

=====

--- R ---
{"formula": "HoThGa", "functional": "PBE", "state": "optimized geometry", "cell": [[4.877, 0.000, 0.000], [-2.438, 4.223, 0.000], [0.000, 0.000, 4.017]], "species": ["Ho", "Th", "Ga"], "fractional_positions": [[0.000, 0.000, 0.000], [0.333, 0.667, 0.478], [0.667, 0.333, 0.897]], "spacegroup": "P3m1 (156)", "m_tot_mub_per_fu": 0.00, "crystal_system": "trigonal"}

=====

Stability verdict: P, ahead by 13.8 kJ/mol of atoms

=====

--- P ---
{"formula": "HoTl2Ga", "functional": "PBE", "state": "optimized geometry", "cell": [[1.731, 1.000, 11.081], [-1.731, 1.000, 11.081], [0.000, -1.999, 11.081]], "species": ["Ho", "Tl", "Tl", "Ga"], "fractional_positions": [[0.000, 0.000, 0.000], [0.093, 0.093, 0.093], [0.907, 0.907, 0.907], [0.500, 0.500, 0.500]], "spacegroup": "R-3m (166)", "m_tot_mub_per_fu": 0.00, "crystal_system": "trigonal"}

=====

--- Q ---
{"formula": "HoTl2Ga", "functional": "PBE", "state": "optimized geometry", "cell": [[4.586, 0.000, 0.000], [0.000, 4.586, 0.000], [0.000, 0.000, 4.668]], "species": ["Ho", "Tl", "Tl", "Ga"], "fractional_positions": [[0.000, 0.000, 0.000], [0.000, 0.500, 0.500], [0.500, 0.000, 0.500], [0.500, 0.500, 0.000]], "spacegroup": "P4/mmm (123)", "m_tot_mub_per_fu": 0.00, "crystal_system": "tetragonal"}

=====

Stability verdict: Q, ahead by 39.5 kJ/mol of atoms

=====

--- P ---
{"formula": "HoTlGa2", "functional": "PBE", "state": "optimized geometry", "cell": [[4.506, 0.000, 0.000], [0.000, 4.506, 0.000], [0.000, 0.000, 4.330]], "species": ["Ho", "Tl", "Ga", "Ga"], "fractional_positions": [[0.000, 0.000, 0.000], [0.500, 0.500, 0.000], [0.000, 0.500, 0.500], [0.500, 0.000, 0.500]], "spacegroup": "P4/mmm (123)", "m_tot_mub_per_fu": 0.00, "crystal_system": "tetragonal"}

=====

--- Q ---
{"formula": "HoTlGa2", "functional": "PBE", "state": "optimized geometry", "cell": [[2.461, 1.421, 6.472], [-2.461, 1.421, 6.472], [0.000, -2.842, 6.472]], "species": ["Ho", "Tl", "Ga", "Ga"], "fractional_positions": [[0.000, 0.000, 0.000], [0.500, 0.500, 0.500], [0.357, 0.357, 0.357], [0.643, 0.643, 0.643]], "spacegroup": "R-3m (166)", "m_tot_mub_per_fu": 0.00, "crystal_system": "trigonal"}

=====

Stability verdict: P, ahead by 53.3 kJ/mol of atoms